(1)
This record from the Alexandria database describes a relaxed Cr2MoIrC crystal. The functional is PBE-GGA.

Properties
calculated volume: 12.26 Å³/atom
formation energy from the elements: -0.02 eV per atom
E_tot: -9.649 eV per atom
space group: No. 123

Lattice parameters (Å, degrees): 3.8754 3.8754 4.0832 90.00 90.00 90.00
Fractional positions:
Cr: 0.0000 0.5000 0.0000
Cr: 0.5000 0.0000 0.0000
Mo: 0.0000 0.0000 0.5000
Ir: 0.5000 0.5000 0.5000
C: 0.0000 0.0000 0.0000

***

(2)
This record from the Alexandria database describes a relaxed InBiPb2 crystal. The functional is PBE-GGA.

Properties
calculated volume: 30.74 Å³/atom
formation energy from the elements: 0.03 eV per atom
E_tot: -3.475 eV per atom
space group: No. 225
energy above the most stable polymorph in this dataset: 0.09 eV per formula unit

Lattice parameters (Å, degrees): 5.5818 5.5818 5.5818 60.00 60.00 60.00
Fractional positions:
In: 0.0000 0.0000 0.0000
Bi: 0.5000 0.5000 0.5000
Pb: 0.2500 0.2500 0.2500
Pb: 0.7500 0.7500 0.7500

***

(3)
This record from the Alexandria database describes a relaxed Ho3Hg2Pt2 crystal. The functional is PBE-GGA.

Properties
calculated volume: 23.39 Å³/atom
formation energy from the elements: -0.84 eV per atom
E_tot: -4.610 eV per atom
space group: No. 65

Lattice parameters (Å, degrees): 11.4426 11.4426 3.6783 90.00 90.00 160.12
Fractional positions:
Ho: 0.0000 0.0000 0.0000
Ho: 0.1681 0.8319 0.0000
Ho: 0.8319 0.1681 0.0000
Hg: 0.4216 0.5784 0.5000
Hg: 0.5784 0.4216 0.5000
Pt: 0.2916 0.7084 0.5000
Pt: 0.7084 0.2916 0.5000

***

(4)
This record from the Alexandria database describes a relaxed BaTcCl2 crystal. The functional is PBE-GGA.

Properties
calculated volume: 26.53 Å³/atom
energy relative to the elements, uncorrected: -390 meV per atom
E_tot: -4.386 eV per atom
space group: No. 99
energy above the most stable polymorph in this dataset: 0.78 eV per formula unit

Lattice parameters (Å, degrees): 3.7989 3.7989 7.3523 90.00 90.00 90.00
Fractional positions:
Ba: 0.0000 0.0000 0.0000
Tc: 0.5000 0.5000 0.6340
Cl: 0.0000 0.0000 0.5837
Cl: 0.5000 0.5000 0.2323

***

(5)
This record from the Alexandria database describes a relaxed Ac2YCuTe5 crystal. The functional is PBE-GGA.

Properties
calculated volume: 32.39 Å³/atom
energy relative to the elements, uncorrected: -1317 meV per atom
E_tot: -5.148 eV per atom
space group: No. 36

Lattice parameters (Å, degrees): 10.0295 10.0295 13.3281 90.00 90.00 154.23
Fractional positions:
Ac: 0.1102 0.8898 0.5000
Ac: 0.1239 0.8761 0.1217
Ac: 0.8761 0.1239 0.6217
Ac: 0.8898 0.1102 0.0000
Y: 0.1910 0.8090 0.8229
Y: 0.8090 0.1910 0.3229
Cu: 0.4282 0.5718 0.2674
Cu: 0.5718 0.4282 0.7674
Te: 0.0436 0.9564 0.8680
Te: 0.2875 0.7125 0.4809
Te: 0.3094 0.6906 0.1625
Te: 0.3524 0.6476 0.8139
Te: 0.4990 0.5010 0.0980
Te: 0.5010 0.4990 0.5980
Te: 0.6476 0.3524 0.3139
Te: 0.6906 0.3094 0.6625
Te: 0.7125 0.2875 0.9809
Te: 0.9564 0.0436 0.3680

***

(6)
This record from the Alexandria database describes a relaxed TbCe2Al2Zn2 crystal. The functional is PBE-GGA.

Properties
calculated volume: 21.51 Å³/atom
formation energy from the elements: -0.34 eV per atom
E_tot: -4.130 eV per atom
space group: No. 166

Lattice parameters (Å, degrees): 9.4018 9.4018 9.4018 26.95 26.95 26.95
Fractional positions:
Tb: 0.0000 0.0000 0.0000
Ce: 0.1416 0.1416 0.1416
Ce: 0.8584 0.8584 0.8584
Al: 0.2631 0.2631 0.2631
Al: 0.7369 0.7369 0.7369
Zn: 0.4015 0.4015 0.4015
Zn: 0.5985 0.5985 0.5985

***

(7)
This record from the Alexandria database describes a relaxed ErBe4GeIr2 crystal. The functional is PBE-GGA.

Properties
calculated volume: 14.24 Å³/atom
formation energy from the elements: -0.28 eV per atom
E_tot: -5.506 eV per atom
space group: No. 166

Lattice parameters (Å, degrees): 8.9357 8.9357 8.9357 25.21 25.21 25.21
Fractional positions:
Er: 0.0000 0.0000 0.0000
Be: 0.1086 0.1086 0.1086
Be: 0.4082 0.4082 0.4082
Be: 0.5918 0.5918 0.5918
Be: 0.8914 0.8914 0.8914
Ge: 0.5000 0.5000 0.5000
Ir: 0.2490 0.2490 0.2490
Ir: 0.7510 0.7510 0.7510

***

(8)
This record from the Alexandria database describes a relaxed LiLaBe2Cu crystal. The functional is PBE-GGA.

Properties
calculated volume: 20.14 Å³/atom
formation energy from the elements: 0.50 eV per atom
E_tot: -3.180 eV per atom
space group: No. 123

Lattice parameters (Å, degrees): 4.4131 4.4131 5.1700 90.00 90.00 90.00
Fractional positions:
Li: 0.0000 0.0000 0.0000
La: 0.5000 0.5000 0.0000
Be: 0.0000 0.5000 0.5000
Be: 0.5000 0.0000 0.5000
Cu: 0.5000 0.5000 0.5000

***

(9)
This record from the Alexandria database describes a relaxed Ca2AgBi2 crystal. The functional is PBE-GGA.

Properties
calculated volume: 29.93 Å³/atom
formation energy from the elements: -0.58 eV per atom
E_tot: -3.503 eV per atom
space group: No. 12
energy above the most stable polymorph in this dataset: 0.00 eV per formula unit

Lattice parameters (Å, degrees): 6.5461 6.5461 11.3181 112.19 112.19 42.46
Fractional positions:
Ca: 0.0219 0.0219 0.3476
Ca: 0.1686 0.1686 0.1022
Ca: 0.8314 0.8314 0.8978
Ca: 0.9781 0.9781 0.6524
Ag: 0.3072 0.3072 0.6680
Ag: 0.6928 0.6928 0.3320
Bi: 0.3404 0.3404 0.4075
Bi: 0.4512 0.4512 0.1187
Bi: 0.5488 0.5488 0.8813
Bi: 0.6596 0.6596 0.5925

***

(10)
This record from the Alexandria database describes a relaxed NbNiAs crystal. The functional is PBE-GGA.

Properties
calculated volume: 14.47 Å³/atom
formation energy from the elements: -0.54 eV per atom
E_tot: -7.374 eV per atom
space group: No. 62

Lattice parameters (Å, degrees): 6.3406 3.7478 7.3065 90.00 90.00 90.00
Fractional positions:
Nb: 0.0175 0.2500 0.1652
Nb: 0.4825 0.7500 0.6652
Nb: 0.5175 0.2500 0.3348
Nb: 0.9825 0.7500 0.8348
Ni: 0.1595 0.2500 0.5733
Ni: 0.3405 0.7500 0.0733
Ni: 0.6595 0.2500 0.9267
Ni: 0.8405 0.7500 0.4267
As: 0.2127 0.7500 0.3807
As: 0.2873 0.2500 0.8807
As: 0.7127 0.7500 0.1193
As: 0.7873 0.2500 0.6193

***

(11)
This record from the Alexandria database describes a relaxed Bi2SO2 crystal. The functional is PBE-GGA.

Properties
calculated volume: 18.49 Å³/atom
energy relative to the elements, uncorrected: -964 meV per atom
E_tot: -5.325 eV per atom
space group: No. 58

Lattice parameters (Å, degrees): 3.9490 12.0747 3.8772 90.00 90.00 90.00
Fractional positions:
Bi: 0.1131 0.1440 0.0000
Bi: 0.3869 0.6440 0.5000
Bi: 0.6131 0.3560 0.5000
Bi: 0.8869 0.8560 0.0000
S: 0.0000 0.5000 0.0000
S: 0.5000 0.0000 0.5000
O: 0.0854 0.2519 0.5000
O: 0.4146 0.7519 0.0000
O: 0.5854 0.2481 0.0000
O: 0.9146 0.7481 0.5000

***

(12)
This record from the Alexandria database describes a relaxed ZnNiHg2 crystal. The functional is PBE-GGA.

Properties
calculated volume: 18.67 Å³/atom
formation energy from the elements: 0.10 eV per atom
E_tot: -1.810 eV per atom
space group: No. 8

Lattice parameters (Å, degrees): 6.2221 6.2221 4.3753 110.35 110.35 28.19
Fractional positions:
Zn: 0.0000 0.0000 0.0000
Ni: 0.6767 0.6767 0.1777
Hg: 0.1783 0.1783 0.6792
Hg: 0.3854 0.3854 0.3867

***

(13)
This record from the Alexandria database describes a relaxed K3ZrNp2Se6 crystal. The functional is PBE-GGA.

Properties
calculated volume: 28.76 Å³/atom
energy relative to the elements, uncorrected: -1284 meV per atom
E_tot: -6.169 eV per atom
space group: No. 12

Lattice parameters (Å, degrees): 7.1816 7.1816 8.0906 98.52 98.52 120.00
Fractional positions:
K: 0.0000 0.0000 0.0000
K: 0.3316 0.6684 0.0000
K: 0.6684 0.3316 0.0000
Zr: 0.5000 0.5000 0.5000
Np: 0.1665 0.8335 0.5000
Np: 0.8335 0.1665 0.5000
Se: 0.1109 0.4315 0.2946
Se: 0.2481 0.2481 0.7056
Se: 0.4315 0.1109 0.2946
Se: 0.5685 0.8891 0.7054
Se: 0.7519 0.7519 0.2944
Se: 0.8891 0.5685 0.7054

***

(14)
This record from the Alexandria database describes a relaxed CaPOs2 crystal. The functional is PBE-GGA.

Properties
calculated volume: 23.14 Å³/atom
formation energy from the elements: 0.25 eV per atom
E_tot: -7.214 eV per atom
space group: No. 122

Lattice parameters (Å, degrees): 8.6028 8.6028 8.6028 147.30 147.30 46.91
Fractional positions:
Ca: 0.0000 0.0000 0.0000
Ca: 0.7500 0.2500 0.5000
P: 0.2500 0.7500 0.5000
P: 0.5000 0.5000 0.0000
Os: 0.3561 0.1250 0.7311
Os: 0.3750 0.6439 0.7689
Os: 0.3939 0.6250 0.2689
Os: 0.8750 0.6061 0.2311

***

(15)
This record from the Alexandria database describes a relaxed NdDyTm5Th2 crystal. The functional is PBE-GGA.

Properties
calculated volume: 32.35 Å³/atom
formation energy from the elements: 0.34 eV per atom
E_tot: -4.836 eV per atom
space group: No. 140

Lattice parameters (Å, degrees): 9.8320 9.8320 9.8320 127.35 127.35 77.68
Fractional positions:
Nd: 0.2500 0.7500 0.5000
Nd: 0.7500 0.2500 0.5000
Dy: 0.2500 0.2500 0.0000
Dy: 0.7500 0.7500 0.0000
Tm: 0.0000 0.0000 0.0000
Tm: 0.0689 0.5689 0.9170
Tm: 0.1519 0.0689 0.5000
Tm: 0.3481 0.8481 0.9170
Tm: 0.4311 0.3481 0.5000
Tm: 0.5000 0.5000 0.0000
Tm: 0.5689 0.6519 0.5000
Tm: 0.6519 0.1519 0.0830
Tm: 0.8481 0.9311 0.5000
Tm: 0.9311 0.4311 0.0830
Th: 0.1192 0.3808 0.5000
Th: 0.3808 0.8808 0.2616
Th: 0.6192 0.1192 0.7384
Th: 0.8808 0.6192 0.5000

***

(16)
This record from the Alexandria database describes a relaxed FePBr2 crystal. The functional is PBE-GGA.

Properties
calculated volume: 26.65 Å³/atom
energy relative to the elements, uncorrected: 620 meV per atom
E_tot: -3.685 eV per atom
space group: No. 123
energy above the most stable polymorph in this dataset: 2.67 eV per formula unit

Lattice parameters (Å, degrees): 3.1189 3.1189 10.9582 90.00 90.00 90.00
Fractional positions:
Fe: 0.0000 0.0000 0.0000
P: 0.0000 0.0000 0.5000
Br: 0.5000 0.5000 0.1489
Br: 0.5000 0.5000 0.8511

***

(17)
This record from the Alexandria database describes a relaxed Cs2ScSiBr6 crystal. The functional is PBE-GGA.

Properties
calculated volume: 37.15 Å³/atom
energy relative to the elements, uncorrected: -1285 meV per atom
E_tot: -3.634 eV per atom
space group: No. 139

Lattice parameters (Å, degrees): 8.3057 8.3057 8.3057 124.82 124.82 81.83
Fractional positions:
Cs: 0.2500 0.7500 0.5000
Cs: 0.7500 0.2500 0.5000
Sc: 0.0000 0.0000 0.0000
Si: 0.5000 0.5000 0.0000
Br: 0.2112 0.2112 0.0000
Br: 0.2475 0.2475 0.4950
Br: 0.2475 0.7525 0.0000
Br: 0.7525 0.2475 0.0000
Br: 0.7525 0.7525 0.5050
Br: 0.7888 0.7888 0.0000

***

(18)
This record from the Alexandria database describes a relaxed ErLuInCo crystal. The functional is PBE-GGA.

Properties
calculated volume: 22.16 Å³/atom
formation energy from the elements: -0.22 eV per atom
E_tot: -4.951 eV per atom
space group: No. 216

Lattice parameters (Å, degrees): 5.0048 5.0048 5.0048 60.00 60.00 60.00
Fractional positions:
Er: 0.0000 0.0000 0.0000
Lu: 0.5000 0.5000 0.5000
In: 0.7500 0.7500 0.7500
Co: 0.2500 0.2500 0.2500

***

(19)
This record from the Alexandria database describes a relaxed Pm2Si3NiIr4 crystal. The functional is PBE-GGA.

Properties
calculated volume: 17.18 Å³/atom
energy relative to the elements, uncorrected: -911 meV per atom
E_tot: -7.610 eV per atom
space group: No. 115

Lattice parameters (Å, degrees): 4.1364 4.1364 10.0411 90.00 90.00 90.00
Fractional positions:
Pm: 0.0000 0.5000 0.2454
Pm: 0.5000 0.0000 0.7546
Si: 0.0000 0.0000 0.0000
Si: 0.0000 0.5000 0.6286
Si: 0.5000 0.0000 0.3714
Ni: 0.5000 0.5000 0.0000
Ir: 0.0000 0.0000 0.5000
Ir: 0.0000 0.5000 0.8675
Ir: 0.5000 0.0000 0.1325
Ir: 0.5000 0.5000 0.5000

***

(20)
This record from the Alexandria database describes a relaxed Ga13Tc2 crystal. The functional is PBE-GGA.

Properties
calculated volume: 17.54 Å³/atom
formation energy from the elements: -0.09 eV per atom
E_tot: -4.100 eV per atom
space group: No. 2

Lattice parameters (Å, degrees): 5.2104 7.1931 7.2287 103.60 92.46 90.61
Fractional positions:
Ga: 0.0000 0.0000 0.0000
Ga: 0.0087 0.8273 0.3657
Ga: 0.2257 0.5193 0.1102
Ga: 0.2293 0.5372 0.7003
Ga: 0.2352 0.2442 0.3053
Ga: 0.4903 0.8195 0.0252
Ga: 0.4977 0.1873 0.6105
Ga: 0.5023 0.8127 0.3895
Ga: 0.5097 0.1805 0.9748
Ga: 0.7648 0.7558 0.6947
Ga: 0.7707 0.4628 0.2997
Ga: 0.7743 0.4807 0.8898
Ga: 0.9913 0.1727 0.6343
Tc: 0.2618 0.8989 0.7164
Tc: 0.7382 0.1011 0.2836

***

(21)
This record from the Alexandria database describes a relaxed K3HfV crystal. The functional is PBE-GGA.

Properties
calculated volume: 59.48 Å³/atom
formation energy from the elements: 1.94 eV per atom
E_tot: -2.533 eV per atom
space group: No. 221
energy above the most stable polymorph in this dataset: 0.67 eV per formula unit

Lattice parameters (Å, degrees): 6.6751 6.6751 6.6751 90.00 90.00 90.00
Fractional positions:
K: 0.0000 0.0000 0.5000
K: 0.0000 0.5000 0.0000
K: 0.5000 0.0000 0.0000
Hf: 0.0000 0.0000 0.0000
V: 0.5000 0.5000 0.5000

***

(22)
This record from the Alexandria database describes a relaxed Pm5Nd2Y crystal. The functional is PBE-GGA.

Properties
calculated volume: 34.72 Å³/atom
formation energy from the elements: 0.15 eV per atom
E_tot: -4.821 eV per atom
space group: No. 15
energy above the most stable polymorph in this dataset: 1.08 eV per formula unit

Lattice parameters (Å, degrees): 9.7473 9.7473 6.6835 98.80 98.80 62.76
Fractional positions:
Pm: 0.0616 0.9384 0.7500
Pm: 0.1152 0.2887 0.0259
Pm: 0.2887 0.1152 0.5259
Pm: 0.3123 0.4912 0.8485
Pm: 0.4912 0.3123 0.3485
Pm: 0.5088 0.6877 0.6515
Pm: 0.6877 0.5088 0.1515
Pm: 0.7113 0.8848 0.4741
Pm: 0.8848 0.7113 0.9741
Pm: 0.9384 0.0616 0.2500
Nd: 0.1751 0.6636 0.3707
Nd: 0.3364 0.8249 0.1293
Nd: 0.6636 0.1751 0.8707
Nd: 0.8249 0.3364 0.6293
Y: 0.0000 0.5000 0.5000
Y: 0.5000 0.0000 0.0000

***

(23)
This record from the Alexandria database describes a relaxed CsCePb2Cl8 crystal. The functional is PBE-GGA.

Properties
calculated volume: 36.32 Å³/atom
energy relative to the elements, uncorrected: -1628 meV per atom
E_tot: -4.042 eV per atom
space group: No. 2

Lattice parameters (Å, degrees): 6.7521 6.9807 9.2494 89.77 89.77 88.99
Fractional positions:
Cs: 0.0000 0.0000 0.0000
Ce: 0.0000 0.0000 0.5000
Pb: 0.4994 0.4998 0.2486
Pb: 0.5006 0.5002 0.7514
Cl: 0.2433 0.8358 0.7075
Cl: 0.2439 0.8364 0.2921
Cl: 0.2521 0.3191 0.4990
Cl: 0.2750 0.3945 0.0020
Cl: 0.7250 0.6055 0.9980
Cl: 0.7479 0.6809 0.5010
Cl: 0.7561 0.1636 0.7079
Cl: 0.7567 0.1642 0.2925

***

(24)
This record from the Alexandria database describes a relaxed AsHRu2 crystal. The functional is PBE-GGA.

Properties
calculated volume: 16.86 Å³/atom
E_tot: -6.186 eV per atom
space group: No. 166
energy above the most stable polymorph in this dataset: 0.93 eV per formula unit

Lattice parameters (Å, degrees): 5.6111 5.6111 5.6111 40.59 40.59 40.59
Fractional positions:
As: 0.0000 0.0000 0.0000
H: 0.5000 0.5000 0.5000
Ru: 0.3910 0.3910 0.3910
Ru: 0.6090 0.6090 0.6090